VASP calculation (PBE with a Hubbard U) on InFeO2 after structural relaxation.

POSCAR file:
```
InFeO2
1.0
-2.465 2.465 5.098
2.465 -2.465 5.098
2.465 2.465 -5.098
In Fe O
2 2 4
Direct
0.000 0.000 0.000 In
0.750 0.250 0.500 In
0.250 0.750 0.500 Fe
0.500 0.500 0.000 Fe
0.153 0.625 0.028 O
0.375 0.403 0.528 O
0.597 0.125 0.972 O
0.875 0.847 0.472 O
```

Output
N(E_F)	0.39	states/eV/f.u.
E	-5.704	eV/atom
density	5.43	g/cm³